# 1
Here is a relaxed Sc3H3Pb crystal from the Alexandria database. Energies are from PBE.

- Calculated total energy: -5.1543 eV/atom
- Crystal system: trigonal

Unit cell a=7.8999 b=7.8999 c=7.8999 alpha=44.47 beta=44.47 gamma=44.47
Fractional positions:
Sc  0.0540  0.7287  0.3924
Sc  0.2713  0.6076  0.9460
Sc  0.3924  0.0540  0.7287
Sc  0.6076  0.9460  0.2713
Sc  0.7287  0.3924  0.0540
Sc  0.9460  0.2713  0.6076
H  0.0389  0.3689  0.7031
H  0.2969  0.9611  0.6311
H  0.3689  0.7031  0.0389
H  0.6311  0.2969  0.9611
H  0.7031  0.0389  0.3689
H  0.9611  0.6311  0.2969
Pb  0.1667  0.1667  0.1667
Pb  0.8333  0.8333  0.8333

=====

# 2
Here is a relaxed Sc6HPb3 crystal from the Alexandria database. Energies are from PBE.

- Calculated total energy: -5.6471 eV/atom
- Crystal system: orthorhombic

Unit cell a=9.7960 b=9.7960 c=4.5629 alpha=90.00 beta=90.00 gamma=101.66
Fractional positions:
Sc  0.0762  0.9238  0.5001
Sc  0.0808  0.5847  0.5000
Sc  0.2533  0.4124  0.0000
Sc  0.2531  0.7469  0.9997
Sc  0.4124  0.2533  0.5000
Sc  0.4153  0.9192  0.5000
Sc  0.5847  0.0808  0.0000
Sc  0.5876  0.7467  0.0000
Sc  0.7469  0.2531  0.4997
Sc  0.7467  0.5876  0.5000
Sc  0.9192  0.4153  0.0000
Sc  0.9238  0.0762  0.0001
H  0.2114  0.7886  0.5027
H  0.7886  0.2114  0.0027
Pb  0.0668  0.2648  0.5002
Pb  0.2648  0.0668  0.0002
Pb  0.4049  0.5951  0.4999
Pb  0.5951  0.4049  0.9999
Pb  0.7352  0.9332  0.5002
Pb  0.9332  0.7352  0.0002

=====

# 3
Here is a relaxed ScHPb crystal from the Alexandria database. Energies are from PBE.

- ΔE to the lowest computed polymorph: 13.6 kJ per mole of atoms
- Calculated total energy: -4.8096 eV/atom
- Crystal system: monoclinic

Unit cell a=11.5431 b=3.4983 c=6.4045 alpha=90.00 beta=118.37 gamma=90.00
Fractional positions:
Sc  0.1519  0.0000  0.2818
Sc  0.3481  0.5000  0.7182
Sc  0.6519  0.5000  0.2818
Sc  0.8481  0.0000  0.7182
H  0.1704  0.5000  0.4346
H  0.3296  0.0000  0.5654
H  0.6704  0.0000  0.4346
H  0.8296  0.5000  0.5654
Pb  0.1288  0.0000  0.7819
Pb  0.3712  0.5000  0.2181
Pb  0.6288  0.5000  0.7819
Pb  0.8712  0.0000  0.2181

=====

# 4
Here is a relaxed Sc2HPb crystal from the Alexandria database. Energies are from PBE.

- ΔE to the lowest computed polymorph: 47.8 kJ per mole of atoms
- Calculated total energy: -4.9349 eV/atom
- Crystal system: cubic

Unit cell a=6.8542 b=6.8542 c=6.8542 alpha=90.00 beta=90.00 gamma=90.00
Fractional positions:
Sc  0.2500  0.2500  0.2500
Sc  0.2500  0.2500  0.7500
Sc  0.2500  0.7500  0.2500
Sc  0.2500  0.7500  0.7500
Sc  0.7500  0.2500  0.2500
Sc  0.7500  0.2500  0.7500
Sc  0.7500  0.7500  0.2500
Sc  0.7500  0.7500  0.7500
H  0.0000  0.0000  0.0000
H  0.0000  0.5000  0.5000
H  0.5000  0.0000  0.5000
H  0.5000  0.5000  0.0000
Pb  0.0000  0.0000  0.5000
Pb  0.0000  0.5000  0.0000
Pb  0.5000  0.0000  0.0000
Pb  0.5000  0.5000  0.5000

=====

# 5
Here is a relaxed Sc2H2Pb crystal from the Alexandria database. Energies are from PBE.

- Calculated total energy: -5.1911 eV/atom
- Crystal system: tetragonal

Unit cell a=3.7698 b=3.7698 c=10.1496 alpha=90.00 beta=90.00 gamma=90.00
Fractional positions:
Sc  0.0000  0.0000  0.1601
Sc  0.0000  0.0000  0.8399
Sc  0.5000  0.5000  0.3399
Sc  0.5000  0.5000  0.6601
H  0.0000  0.5000  0.2500
H  0.0000  0.5000  0.7500
H  0.5000  0.0000  0.2500
H  0.5000  0.0000  0.7500
Pb  0.0000  0.0000  0.5000
Pb  0.5000  0.5000  0.0000

=====

# 6
Here is a relaxed Sc6HPb2 crystal from the Alexandria database. Energies are from PBE.

- Calculated total energy: -5.7519 eV/atom
- Crystal system: tetragonal

Unit cell a=6.4274 b=6.4274 c=6.4274 alpha=120.03 beta=120.03 gamma=89.96
Fractional positions:
Sc  0.2489  0.2489  0.0000
Sc  0.2500  0.2500  0.5000
Sc  0.2500  0.7500  0.0000
Sc  0.7500  0.2500  0.0000
Sc  0.7500  0.7500  0.5000
Sc  0.7511  0.7511  0.0000
H  0.0000  0.0000  0.0000
Pb  0.2500  0.7500  0.5000
Pb  0.7500  0.2500  0.5000

=====

# 7
Here is a relaxed Sc4HPb2 crystal from the Alexandria database. Energies are from PBE.

- ΔE to the lowest computed polymorph: 0.0 kJ per mole of atoms
- Calculated total energy: -5.6001 eV/atom
- Crystal system: monoclinic

Unit cell a=5.9352 b=6.1151 c=8.6499 alpha=90.00 beta=109.63 gamma=90.00
Fractional positions:
Sc  0.0406  0.0006  0.3078
Sc  0.0406  0.4994  0.3078
Sc  0.3609  0.7500  0.0450
Sc  0.4305  0.7500  0.6614
Sc  0.5695  0.2500  0.3386
Sc  0.6391  0.2500  0.9550
Sc  0.9594  0.5006  0.6922
Sc  0.9594  0.9994  0.6922
H  0.1998  0.7500  0.7899
H  0.8002  0.2500  0.2101
Pb  0.1815  0.2500  0.0241
Pb  0.3694  0.2500  0.6070
Pb  0.6306  0.7500  0.3930
Pb  0.8185  0.7500  0.9759

=====

# 8
Here is a relaxed Sc3HPb2 crystal from the Alexandria database. Energies are from PBE.

- Calculated total energy: -5.2245 eV/atom
- Crystal system: monoclinic

Unit cell a=7.3826 b=7.3826 c=6.5404 alpha=98.76 beta=98.76 gamma=47.21
Fractional positions:
Sc  0.0544  0.9456  0.7500
Sc  0.3482  0.4321  0.3569
Sc  0.4321  0.3482  0.8569
Sc  0.5679  0.6518  0.1431
Sc  0.6518  0.5679  0.6431
Sc  0.9456  0.0544  0.2500
H  0.3892  0.6108  0.7500
H  0.6108  0.3892  0.2500
Pb  0.1729  0.2094  0.0427
Pb  0.2094  0.1729  0.5427
Pb  0.7906  0.8271  0.4573
Pb  0.8271  0.7906  0.9573